1.
Material: TaRePt
Method: DFT, GGA-PBEsol
State: optimized geometry

Cell: 2.7374 2.7374 12.4210 Å, 90.00 90.00 90.00°
Closest atoms and distances in Å follow each position.
Sites, in units of the cell vectors:
Ta1 0.0000 0.0000 0.0000  4 Ta 2.74, 4 Pt 2.85, 4 Re 2.89
Ta2 0.5000 0.5000 0.5000  4 Ta 2.74, 4 Pt 2.85, 4 Re 2.89
Re1 0.0000 0.0000 0.3274  4 Re 2.74, 4 Pt 2.77, 4 Ta 2.89
Re2 0.5000 0.5000 0.8274  4 Re 2.74, 4 Pt 2.77, 4 Ta 2.89
Pt1 0.0000 0.0000 0.6679  4 Pt 2.74, 4 Re 2.77, 4 Ta 2.85
Pt2 0.5000 0.5000 0.1679  4 Pt 2.74, 4 Re 2.77, 4 Ta 2.85

Spin magnetization = 0.00 μB/f.u.
Raw total energy = -11.1602 eV per atom

=====

2.
Material: TaRePt2
Method: DFT, GGA-PBEsol
State: optimized geometry

Cell: 5.4561 8.1816 2.7215 Å, 90.00 90.00 90.00°
Closest atoms and distances in Å follow each position.
Sites, in units of the cell vectors:
Ta1 0.0000 0.0000 0.0000  2 Ta 2.72, 2 Re 2.73, 8 Pt 2.81
Ta2 0.5000 0.5000 0.0000  2 Ta 2.72, 2 Re 2.73, 8 Pt 2.81
Re1 0.0000 0.5000 0.0000  2 Re 2.72, 2 Ta 2.73, 8 Pt 2.81
Re2 0.5000 0.0000 0.0000  2 Re 2.72, 2 Ta 2.73, 8 Pt 2.81
Pt1 0.2500 0.2500 0.5000  4 Pt 2.72-2.73, 4 Ta 2.81, 4 Re 2.81
Pt2 0.2500 0.7500 0.5000  4 Pt 2.72-2.73, 4 Ta 2.81, 4 Re 2.81
Pt3 0.7500 0.2500 0.5000  4 Pt 2.72-2.73, 4 Ta 2.81, 4 Re 2.81
Pt4 0.7500 0.7500 0.5000  4 Pt 2.72-2.73, 4 Ta 2.81, 4 Re 2.81

Spin magnetization = 0.00 μB/f.u.
Excess energy over the best structure of this formula in the dataset = 0 meV/atom

=====

3.
Material: Re3TcPt
Method: DFT, GGA-PBEsol
State: optimized geometry

Cell: 4.5434 4.5434 4.5434 Å, 90.00 90.00 90.00°
Closest atoms and distances in Å follow each position.
Sites, in units of the cell vectors:
Re1 0.0000 0.0000 0.5000  2 Tc 2.27
Re2 0.0000 0.5000 0.0000  2 Tc 2.27
Re3 0.5000 0.0000 0.0000  2 Tc 2.27
Tc1 0.0000 0.0000 0.0000  6 Re 2.27
Pt1 0.5000 0.5000 0.5000  12 Re 3.21

Spin magnetization = 0.00 μB/f.u.
Raw total energy = -9.3957 eV per atom

=====

Result set for ρ: 20062 20703 15080 kg/m³, one per record in the order listed.
Result set for density of states at the Fermi level: 6.55 6.19 5.03 states/eV per cell, one per record in the order listed.